Record 1
# Ca2AcGa2

A relaxed structure of Ca2AcGa2 (PBE-GGA, Alexandria via LeMat-Bulk).

a b c (Å): 4.867 4.508 14.136
angles (deg): 90.00 99.91 90.00
Element x y z (fractional)
Ac: 0.637 0.750 0.273
Ac: 0.363 0.250 0.727
Ga: 0.523 0.750 0.047
Ga: 0.828 0.750 0.657
Ga: 0.172 0.250 0.343
Ga: 0.477 0.250 0.953
Ca: 0.252 0.750 0.503
Ca: 0.947 0.750 0.894
Ca: 0.748 0.250 0.497
Ca: 0.053 0.250 0.106

Calculated values
calculated total energy = -3.1783 eV per atom
polymorph energy (0 for the lowest one) = 0.000 eV per atom
ΔH_f (0 K) = -1.73 eV per formula unit

---

Record 2
# Ca2AcGa4

A relaxed structure of Ca2AcGa4 (PBE-GGA, Alexandria via LeMat-Bulk).

a b c (Å): 4.358 4.552 9.945
angles (deg): 103.23 102.66 90.00
Element x y z (fractional)
Ca: 0.187 0.187 0.373
Ca: 0.813 0.813 0.627
Ga: 0.931 0.431 0.863
Ga: 0.358 0.358 0.716
Ga: 0.069 0.569 0.137
Ga: 0.642 0.642 0.284
Ac: 0.500 0.000 0.000

Calculated values
calculated total energy = -3.4237 eV per atom
ΔH_f (0 K) = -3.75 eV per formula unit

---

Record 3
# Ca3Ac2Ga2

A relaxed structure of Ca3Ac2Ga2 (PBE-GGA, Alexandria via LeMat-Bulk).

a b c (Å): 5.628 5.642 9.065
angles (deg): 108.11 90.00 119.92
Element x y z (fractional)
Ac: 0.099 0.198 0.795
Ac: 0.901 0.802 0.205
Ca: 0.500 0.000 0.000
Ca: 0.355 0.711 0.566
Ca: 0.645 0.289 0.434
Ga: 0.770 0.540 0.807
Ga: 0.230 0.460 0.193

Calculated values
calculated total energy = -3.1678 eV per atom
ΔH_f (0 K) = -1.90 eV per formula unit

---

Record 4
# Ca5AcGa6

A relaxed structure of Ca5AcGa6 (PBE-GGA, Alexandria via LeMat-Bulk).

a b c (Å): 5.275 7.444 9.119
angles (deg): 114.09 106.60 90.00
Element x y z (fractional)
Ca: 0.666 0.166 0.332
Ca: 0.329 0.330 0.659
Ca: 0.671 0.670 0.341
Ca: 0.334 0.834 0.668
Ca: 0.000 0.500 0.000
Ga: 0.831 0.565 0.661
Ga: 0.500 0.272 0.000
Ga: 0.831 0.096 0.661
Ga: 0.169 0.435 0.339
Ga: 0.169 0.904 0.339
Ga: 0.500 0.728 0.000
Ac: 0.000 0.000 0.000

Calculated values
calculated total energy = -3.1289 eV per atom
ΔH_f (0 K) = -5.27 eV per formula unit

---

Record 5
# CaAc3Ga3

A relaxed structure of CaAc3Ga3 (PBE-GGA, Alexandria via LeMat-Bulk).

a b c (Å): 7.822 7.822 7.829
angles (deg): 90.17 90.17 100.07
Element x y z (fractional)
Ga: 0.940 0.940 0.154
Ga: 0.509 0.965 0.691
Ga: 0.965 0.509 0.691
Ga: 0.491 0.035 0.309
Ga: 0.060 0.060 0.846
Ga: 0.035 0.491 0.309
Ac: 0.161 0.839 0.500
Ac: 0.749 0.251 0.000
Ac: 0.335 0.335 0.649
Ac: 0.251 0.749 0.000
Ac: 0.839 0.161 0.500
Ac: 0.665 0.665 0.351
Ca: 0.263 0.263 0.149
Ca: 0.737 0.737 0.851

Calculated values
calculated total energy = -3.6386 eV per atom
ΔH_f (0 K) = -2.06 eV per formula unit

---

Record 6
# CaAc3Ga8

A relaxed structure of CaAc3Ga8 (PBE-GGA, Alexandria via LeMat-Bulk).

a b c (Å): 5.809 5.809 10.192
angles (deg): 73.44 73.44 60.00
Element x y z (fractional)
Ga: 0.939 0.939 0.685
Ga: 0.938 0.436 0.190
Ga: 0.436 0.938 0.190
Ga: 0.687 0.687 0.939
Ga: 0.188 0.188 0.435
Ga: 0.436 0.436 0.190
Ga: 0.437 0.939 0.685
Ga: 0.939 0.437 0.685
Ac: 0.997 0.997 0.008
Ac: 0.501 0.501 0.496
Ac: 0.375 0.375 0.874
Ca: 0.875 0.875 0.374

Calculated values
calculated total energy = -3.6634 eV per atom
ΔH_f (0 K) = -5.42 eV per formula unit